# 1
LiTl2Pb: PBEsol geometry, SCAN.

Properties
Its crystal system is orthorhombic. Its distance to the lowest polymorph of the same formula is 0.16 eV/f.u. The space group is Pmm2.

Unit cell a=3.4633 b=4.5638 c=6.5317 alpha=90.00 beta=90.00 gamma=90.00
Atoms (fractional coordinates):
Li 0.0000 0.0000 0.0000
Tl 0.0000 0.0000 0.5019
Tl 0.5000 0.5000 0.7550
Pb 0.5000 0.5000 0.2381

=====

# 2
LiTlPb2: PBEsol geometry, SCAN.

Properties
Its crystal system is orthorhombic. The space group is Cmmm.

Unit cell a=5.7879 b=5.7879 c=3.3882 alpha=90.00 beta=90.00 gamma=110.70
Atoms (fractional coordinates):
Li 0.0000 0.0000 0.0000
Tl 0.5000 0.5000 0.0000
Pb 0.0000 0.5000 0.5000
Pb 0.5000 0.0000 0.5000

=====

# 3
Li2TlPb: PBEsol geometry, SCAN.

Properties
Its crystal system is orthorhombic. Its distance to the lowest polymorph of the same formula is 0.26 eV/f.u. The space group is Imm2.

Unit cell a=5.8406 b=5.8406 c=5.8406 alpha=142.82 beta=133.11 gamma=61.30
Atoms (fractional coordinates):
Li 0.0000 0.0000 0.0000
Li 0.7555 0.2555 0.5000
Tl 0.5141 0.5141 0.0000
Pb 0.2528 0.7528 0.5000

=====

# 4
Li2TlPb: PBEsol geometry, SCAN.

Properties
Its crystal system is tetragonal. Its distance to the lowest polymorph of the same formula is 0.35 eV/f.u. The space group is P4mm.

Unit cell a=3.8167 b=3.8167 c=6.0318 alpha=90.00 beta=90.00 gamma=90.00
Atoms (fractional coordinates):
Li 0.0000 0.0000 0.0000
Li 0.5000 0.5000 0.2695
Tl 0.5000 0.5000 0.7937
Pb 0.0000 0.0000 0.4923

=====

# 5
LiTlPb2: PBEsol geometry, SCAN.

Properties
Its crystal system is tetragonal. The space group is P4/mmm.

Unit cell a=3.4684 b=3.4684 c=8.5149 alpha=90.00 beta=90.00 gamma=90.00
Atoms (fractional coordinates):
Li 0.0000 0.0000 0.0000
Tl 0.0000 0.0000 0.5000
Pb 0.5000 0.5000 0.2106
Pb 0.5000 0.5000 0.7894

=====

# 6
LiTlPb2: PBEsol geometry, SCAN.

Properties
Its crystal system is trigonal. The space group is R-3m.

Unit cell a=10.5361 b=10.5361 c=10.5361 alpha=18.80 beta=18.80 gamma=18.80
Atoms (fractional coordinates):
Li 0.0000 0.0000 0.0000
Tl 0.5000 0.5000 0.5000
Pb 0.2565 0.2565 0.2565
Pb 0.7435 0.7435 0.7435

=====

# 7
Li2TlPb: PBEsol geometry, SCAN.

Properties
Its crystal system is tetragonal. Its distance to the lowest polymorph of the same formula is 0.00 eV/f.u. The space group is P4/mmm.

Unit cell a=4.9862 b=4.9862 c=3.3557 alpha=90.00 beta=90.00 gamma=90.00
Atoms (fractional coordinates):
Li 0.0000 0.5000 0.0000
Li 0.5000 0.0000 0.0000
Tl 0.0000 0.0000 0.5000
Pb 0.5000 0.5000 0.5000

=====

# 8
LiTl2Pb: PBEsol geometry, SCAN.

Properties
Its crystal system is tetragonal. Its distance to the lowest polymorph of the same formula is 0.07 eV/f.u. The space group is P4/mmm.

Unit cell a=3.3679 b=3.3679 c=8.7621 alpha=90.00 beta=90.00 gamma=90.00
Atoms (fractional coordinates):
Li 0.0000 0.0000 0.0000
Tl 0.5000 0.5000 0.2142
Tl 0.5000 0.5000 0.7858
Pb 0.0000 0.0000 0.5000

=====

# 9
LiTl2Pb: PBEsol geometry, SCAN.

Properties
Its crystal system is trigonal. Its distance to the lowest polymorph of the same formula is 0.17 eV/f.u. The space group is R3m.

Unit cell a=10.1700 b=10.1700 c=10.1700 alpha=19.56 beta=19.56 gamma=19.56
Atoms (fractional coordinates):
Li 0.0000 0.0000 0.0000
Tl 0.2594 0.2594 0.2594
Tl 0.5019 0.5019 0.5019
Pb 0.7443 0.7443 0.7443

=====

# 10
LiTlPb2: PBEsol geometry, SCAN.

Properties
Its crystal system is orthorhombic. The space group is Imm2.

Unit cell a=6.2168 b=6.2168 c=6.2168 alpha=145.65 beta=129.19 gamma=62.77
Atoms (fractional coordinates):
Li 0.0000 0.0000 0.0000
Tl 0.2233 0.7233 0.5000
Pb 0.4931 0.4931 0.0000
Pb 0.7673 0.2673 0.5000

=====

# 11
LiTlPb2: PBEsol geometry, SCAN.

Properties
Its crystal system is triclinic. The space group is P1.

Unit cell a=3.4205 b=5.7206 c=5.7738 alpha=102.81 beta=106.49 gamma=90.29
Atoms (fractional coordinates):
Li 0.0000 0.0000 0.0000
Tl 0.7381 0.2381 0.4686
Pb 0.2569 0.7616 0.5167
Pb 0.4975 0.4960 0.9917

=====

# 12
Li2TlPb: PBEsol geometry, SCAN.

Properties
Its crystal system is orthorhombic. Its distance to the lowest polymorph of the same formula is 0.03 eV/f.u. The space group is Pmmm.

Unit cell a=3.3591 b=3.6345 c=6.8338 alpha=90.00 beta=90.00 gamma=90.00
Atoms (fractional coordinates):
Li 0.0000 0.0000 0.2446
Li 0.0000 0.0000 0.7554
Tl 0.5000 0.5000 0.0000
Pb 0.5000 0.5000 0.5000

=====

# 13
LiTl2Pb: PBEsol geometry, SCAN.

Properties
Its crystal system is orthorhombic. Its distance to the lowest polymorph of the same formula is 0.19 eV/f.u. The space group is Pmmm.

Unit cell a=3.8172 b=5.2110 c=5.2436 alpha=90.00 beta=90.00 gamma=90.00
Atoms (fractional coordinates):
Li 0.0000 0.0000 0.0000
Tl 0.0000 0.5000 0.5000
Tl 0.5000 0.5000 0.0000
Pb 0.5000 0.0000 0.5000

=====

# 14
LiTl2Pb: PBEsol geometry, SCAN.

Properties
Its crystal system is tetragonal. Its distance to the lowest polymorph of the same formula is 0.08 eV/f.u. The space group is I4/mmm.

Unit cell a=5.8052 b=5.8052 c=5.8052 alpha=132.96 beta=132.96 gamma=68.71
Atoms (fractional coordinates):
Li 0.0000 0.0000 0.0000
Tl 0.2500 0.7500 0.5000
Tl 0.7500 0.2500 0.5000
Pb 0.5000 0.5000 0.0000

=====

# 15
LiTlPb2: PBEsol geometry, SCAN.

Properties
Its crystal system is monoclinic. The space group is P2/m.

Unit cell a=3.5771 b=4.4158 c=6.6559 alpha=90.00 beta=90.08 gamma=90.00
Atoms (fractional coordinates):
Li 0.0000 0.0000 0.0000
Tl 0.0000 0.0000 0.5000
Pb 0.5001 0.5000 0.2401
Pb 0.4999 0.5000 0.7599

=====

Q: Which energy of formation from the pure elements values were calculated for the entries above? A: -110; -145; -292; -269; -186; -110; -356; -134; -109; -134; -140; -349; -105; -131; -134, in meV per atom.
Q: Which final energy values were calculated for the entries above? A: -55.8324; -56.7223; -38.5217; -38.4988; -56.7639; -56.6876; -38.5862; -55.8555; -55.8308; -56.7120; -56.7174; -38.5791; -55.8265; -55.8532; -56.7117, in eV per atom.
Q: Which ρ values were calculated for the entries above? A: 10.0; 9.8; 8.1; 8.0; 10.1; 9.8; 8.5; 10.4; 10.0; 10.0; 9.9; 8.5; 9.9; 10.1; 9.9, in g/cm³.